A relaxed KCuSb2C crystal. Source: the Alexandria database, functional GGA-PBEsol.

Values from the calculation:
Formation energy (no corrections)   2.581 eV per atom
Crystal system   tetragonal

Cell: 5.641 5.641 4.229 Å, 90.00 90.00 90.00°
Fractional coordinates of all 5 atoms:
K 0.000 0.000 0.000
Cu 0.500 0.500 0.500
Sb 0.000 0.500 0.000
Sb 0.500 0.000 0.000
C 0.000 0.000 0.500



A relaxed HgPb2 crystal. Source: the Alexandria database, functional GGA-PBEsol.

Values from the calculation:
Polymorph energy (0 for the lowest one)   0.0 meV per atom
Crystal system   tetragonal

Cell: 7.176 7.176 7.176 Å, 151.94 151.94 40.10°
Fractional coordinates of all 3 atoms:
Hg 0.000 0.000 0.000
Pb 0.341 0.341 0.000
Pb 0.659 0.659 0.000



A relaxed YMoP2 crystal. Source: the Alexandria database, functional GGA-PBEsol.

Values from the calculation:
Polymorph energy (0 for the lowest one)   0.0 meV per atom
Crystal system   orthorhombic

Cell: 4.572 4.941 4.941 Å, 40.75 90.00 90.00°
Fractional coordinates of all 4 atoms:
Y 0.000 0.000 0.000
Mo 0.500 0.725 0.725
P 0.000 0.719 0.719
P 0.500 0.422 0.422



A relaxed K2CoIr crystal. Source: the Alexandria database, functional GGA-PBEsol.

Values from the calculation:
Polymorph energy (0 for the lowest one)   0.0 meV per atom
Crystal system   monoclinic

Cell: 2.781 3.850 9.816 Å, 90.00 90.85 90.00°
Fractional coordinates of all 4 atoms:
K 0.000 0.000 0.000
K 0.382 0.500 0.556
Co 0.393 0.500 0.250
Ir 0.884 0.000 0.309